1.
# Zr2CrRe2 | Alexandria | PBE | optimized geometry
# - energy relative to the lowest polymorph listed for this composition (meV/atom) = 0
# - DFT total energy (eV/cell) = -102.4
# - calculated density (g/cm³) = 11.1
# - energy of formation from the pure elements (meV per atom) = 81
data_Zr2CrRe2
_chemical_formula_sum 'Zr4 Cr2 Re4'
_symmetry_space_group_name_H-M 'P 4/m b m'
_symmetry_Int_Tables_number 127
_symmetry_space_group_name_Hall '-P 4 2ab'
_cell_length_a 6.3346
_cell_length_b 6.3346
_cell_length_c 4.5409
_cell_angle_alpha 90.00
_cell_angle_beta 90.00
_cell_angle_gamma 90.00
loop_
_atom_site_label
_atom_site_type_symbol
_atom_site_fract_x
_atom_site_fract_y
_atom_site_fract_z
Zr1 Zr 0.1780 0.3220 0.0000
Cr1 Cr 0.0000 0.0000 0.5000
Re1 Re 0.1424 0.6424 0.5000

2.
# La2PrUO8 | Alexandria | PBE | optimized geometry
# - DFT total energy (eV/cell) = -104.1
# - calculated density (g/cm³) = 7.4
data_La2PrUO8
_chemical_formula_sum 'La2 Pr1 U1 O8'
_symmetry_space_group_name_H-M 'P m m m'
_symmetry_Int_Tables_number 47
_symmetry_space_group_name_Hall '-P 2 2'
_cell_length_a 4.0193
_cell_length_b 5.6278
_cell_length_c 7.7696
_cell_angle_alpha 90.00
_cell_angle_beta 90.00
_cell_angle_gamma 90.00
loop_
_atom_site_label
_atom_site_type_symbol
_atom_site_fract_x
_atom_site_fract_y
_atom_site_fract_z
La1 La 0.0000 0.0000 0.2461
Pr1 Pr 0.5000 0.5000 0.5000
U1 U 0.5000 0.5000 0.0000
O1 O 0.0000 0.2479 0.5000
O2 O 0.0000 0.2826 0.0000
O3 O 0.5000 0.2679 0.2171

3.
# Ba3Ca8 | Alexandria | PBE | optimized geometry
# - DFT total energy (eV/cell) = -53.7
# - calculated density (g/cm³) = 1.9
# - energy of formation from the pure elements (meV per atom) = 352
data_Ba3Ca8
_chemical_formula_sum 'Ba9 Ca24'
_symmetry_space_group_name_H-M 'R -3'
_symmetry_Int_Tables_number 148
_symmetry_space_group_name_Hall '-R 3'
_cell_length_a 13.2399
_cell_length_b 13.2399
_cell_length_c 12.5760
_cell_angle_alpha 90.00
_cell_angle_beta 90.00
_cell_angle_gamma 120.00
loop_
_atom_site_label
_atom_site_type_symbol
_atom_site_fract_x
_atom_site_fract_y
_atom_site_fract_z
Ba1 Ba 0.0000 0.5000 0.0000
Ca1 Ca 0.0000 0.0000 0.3595
Ca2 Ca 0.0926 0.9047 0.8838

4.
# AcHoAg2S4 | Alexandria | PBE | optimized geometry
# - DFT total energy (eV/cell) = -81.5
# - calculated density (g/cm³) = 6.3
data_AcHoAg2S4
_chemical_formula_sum 'Ac2 Ho2 Ag4 S8'
_symmetry_space_group_name_H-M 'I 2 2 2'
_symmetry_Int_Tables_number 23
_symmetry_space_group_name_Hall 'I 2 2'
_cell_length_a 6.8174
_cell_length_b 7.0427
_cell_length_c 8.1219
_cell_angle_alpha 90.00
_cell_angle_beta 90.00
_cell_angle_gamma 90.00
loop_
_atom_site_label
_atom_site_type_symbol
_atom_site_fract_x
_atom_site_fract_y
_atom_site_fract_z
Ac1 Ac 0.0000 0.0000 0.0000
Ho1 Ho 0.0000 0.0000 0.5000
Ag1 Ag 0.0000 0.5000 0.1765
S1 S 0.2188 0.2234 0.3210

5.
# SrLi6Ag2 | Alexandria | PBE | optimized geometry
# - DFT total energy (eV/cell) = -20.0
# - calculated density (g/cm³) = 2.9
# - energy of formation from the pure elements (meV per atom) = -123
data_SrLi6Ag2
_chemical_formula_sum 'Sr1 Li6 Ag2'
_symmetry_space_group_name_H-M 'P 4/m m m'
_symmetry_Int_Tables_number 123
_symmetry_space_group_name_Hall '-P 4 2'
_cell_length_a 4.3965
_cell_length_b 4.3965
_cell_length_c 10.2060
_cell_angle_alpha 90.00
_cell_angle_beta 90.00
_cell_angle_gamma 90.00
loop_
_atom_site_label
_atom_site_type_symbol
_atom_site_fract_x
_atom_site_fract_y
_atom_site_fract_z
Sr1 Sr 0.0000 0.0000 0.0000
Li1 Li 0.0000 0.0000 0.5000
Li2 Li 0.0000 0.5000 0.3005
Li3 Li 0.5000 0.5000 0.5000
Ag1 Ag 0.5000 0.5000 0.1407

6.
# Sc3GaSe6 | Alexandria | PBE | optimized geometry
# - DFT total energy (eV/cell) = -225.5
# - calculated density (g/cm³) = 4.8
data_Sc3GaSe6
_chemical_formula_sum 'Sc12 Ga4 Se24'
_symmetry_space_group_name_H-M 'C m c 21'
_symmetry_Int_Tables_number 36
_symmetry_space_group_name_Hall 'C 2c -2'
_cell_length_a 10.7282
_cell_length_b 13.3908
_cell_length_c 6.5027
_cell_angle_alpha 90.00
_cell_angle_beta 90.00
_cell_angle_gamma 90.00
loop_
_atom_site_label
_atom_site_type_symbol
_atom_site_fract_x
_atom_site_fract_y
_atom_site_fract_z
Sc1 Sc 0.0000 0.0933 0.0000
Sc2 Sc 0.1840 0.4034 0.1048
Ga1 Ga 0.0000 0.2949 0.6330
Se1 Se 0.0000 0.2814 0.2626
Se2 Se 0.0000 0.4621 0.7913
Se3 Se 0.1639 0.0363 0.3000
Se4 Se 0.1714 0.2255 0.8309

7.
# Ba6IrRh | Alexandria | PBE | optimized geometry
# - DFT total energy (eV/cell) = -58.0
# - calculated density (g/cm³) = 4.7
# - energy of formation from the pure elements (meV per atom) = -156
data_Ba6IrRh
_chemical_formula_sum 'Ba12 Ir2 Rh2'
_symmetry_space_group_name_H-M 'C 1 2/m 1'
_symmetry_Int_Tables_number 12
_symmetry_space_group_name_Hall '-C 2y'
_cell_length_a 7.7729
_cell_length_b 13.6766
_cell_length_c 7.7689
_cell_angle_alpha 90.00
_cell_angle_beta 107.76
_cell_angle_gamma 90.00
loop_
_atom_site_label
_atom_site_type_symbol
_atom_site_fract_x
_atom_site_fract_y
_atom_site_fract_z
Ba1 Ba 0.2482 0.1519 0.2488
Ba2 Ba 0.2494 0.0000 0.7517
Ir1 Ir 0.0000 0.0000 0.0000
Rh1 Rh 0.0000 0.5000 0.5000

8.
# Li2Pu2TiS6 | Alexandria | PBE | optimized geometry
# - DFT total energy (eV/cell) = -162.4
# - calculated density (g/cm³) = 5.3
data_Li2Pu2TiS6
_chemical_formula_sum 'Li4 Pu4 Ti2 S12'
_symmetry_space_group_name_H-M 'C 1 2/m 1'
_symmetry_Int_Tables_number 12
_symmetry_space_group_name_Hall '-C 2y'
_cell_length_a 6.6569
_cell_length_b 11.3970
_cell_length_c 6.4368
_cell_angle_alpha 90.00
_cell_angle_beta 108.32
_cell_angle_gamma 90.00
loop_
_atom_site_label
_atom_site_type_symbol
_atom_site_fract_x
_atom_site_fract_y
_atom_site_fract_z
Li1 Li 0.0000 0.1566 0.0000
Pu1 Pu 0.0000 0.3350 0.5000
Ti1 Ti 0.0000 0.0000 0.5000
S1 S 0.2271 0.1572 0.7370
S2 S 0.2282 0.0000 0.2616

9.
# Pm2Dy3In2 | Alexandria | PBE | optimized geometry
# - energy relative to the lowest polymorph listed for this composition (meV/atom) = 0
# - DFT total energy (eV/cell) = -61.4
# - calculated density (g/cm³) = 8.0
# - energy of formation from the pure elements (meV per atom) = -273
data_Pm2Dy3In2
_chemical_formula_sum 'Pm4 Dy6 In4'
_symmetry_space_group_name_H-M 'C 1 2/m 1'
_symmetry_Int_Tables_number 12
_symmetry_space_group_name_Hall '-C 2y'
_cell_length_a 9.4175
_cell_length_b 5.4454
_cell_length_c 8.7017
_cell_angle_alpha 90.00
_cell_angle_beta 111.20
_cell_angle_gamma 90.00
loop_
_atom_site_label
_atom_site_type_symbol
_atom_site_fract_x
_atom_site_fract_y
_atom_site_fract_z
Pm1 Pm 0.0773 0.0000 0.2319
Dy1 Dy 0.0000 0.5000 0.5000
Dy2 Dy 0.1529 0.5000 0.9584
In1 In 0.2173 0.0000 0.6516

10.
# BaFe3Ir | Alexandria | PBE | optimized geometry
# - energy relative to the lowest polymorph listed for this composition (meV/atom) = 0
# - DFT total energy (eV/cell) = -32.7
# - calculated density (g/cm³) = 7.2
# - energy of formation from the pure elements (meV per atom) = 687
data_BaFe3Ir
_chemical_formula_sum 'Ba1 Fe3 Ir1'
_symmetry_space_group_name_H-M 'P m -3 m'
_symmetry_Int_Tables_number 221
_symmetry_space_group_name_Hall '-P 4 2 3'
_cell_length_a 4.8501
_cell_length_b 4.8501
_cell_length_c 4.8501
_cell_angle_alpha 90.00
_cell_angle_beta 90.00
_cell_angle_gamma 90.00
loop_
_atom_site_label
_atom_site_type_symbol
_atom_site_fract_x
_atom_site_fract_y
_atom_site_fract_z
Ba1 Ba 0.0000 0.0000 0.0000
Fe1 Fe 0.0000 0.5000 0.5000
Ir1 Ir 0.5000 0.5000 0.5000

- Among the records above, which one has the lowest calculated density?
  Ba3Ca8

- Look up the DFT total energy of the sixth one.
  -225.5 eV/cell